# GGA-PBE AsRuPt2, relaxed
# * density of states at the Fermi level: 5.31 states/eV/f.u.
# * energy relative to the elements: 0.480 eV/f.u.
data_AsRuPt2
_space_group_name_H-M_alt 'P 1'
_space_group_IT_number 1
_space_group_name_Hall 'P 1'
_cell_length_a 4.160
_cell_length_b 2.863
_cell_length_c 5.491
_cell_angle_alpha 72.77
_cell_angle_beta 90.00
_cell_angle_gamma 90.00
loop_
_atom_site_label
_atom_site_fract_x
_atom_site_fract_y
_atom_site_fract_z
Ru1 0.500 0.250 0.250
As1 0.500 0.750 0.750
Pt1 0.000 0.886 0.996
Pt2 0.000 0.614 0.504